# 1
A relaxed structure of Sr3CoN3. Source: the Alexandria database, functional PBEsol.

Unit cell a=7.4772 b=7.4772 c=5.2406 alpha=90.00 beta=90.00 gamma=120.00
Closest atoms and distances in Å follow each position.
Space group P6_3/m (No. 176)
Asymmetric unit:
Sr 0.0860 0.7236 0.2500  5 N 2.59-2.74
Co 0.3333 0.6667 0.7500  3 N 1.74
N 0.1133 0.6898 0.7500  1 Co 1.74

Calculated values
The value obtained for the total energy is -6.189 eV per atom. As for the formation energy without anion corrections: -0.640 eV/atom.

***

# 2
A relaxed structure of Sr8Co3N8. Source: the Alexandria database, functional PBEsol.

Unit cell a=18.3131 b=5.2694 c=7.3196 alpha=90.00 beta=105.26 gamma=90.00
Closest atoms and distances in Å follow each position.
Space group C2/m (No. 12)
Asymmetric unit:
Sr 0.0283 0.0000 0.2653  5 N 2.61-2.75
Sr 0.0962 0.5000 0.9645  4 N 2.48-2.74
Sr 0.1669 0.5000 0.4735  5 N 2.57-2.75
Sr 0.2007 0.0000 0.8082  5 N 2.58-2.67
Co 0.0000 0.5000 0.5000  2 N 1.77
Co 0.1869 0.0000 0.2060  3 N 1.72-1.76
N 0.0258 0.5000 0.2836  1 Co 1.77
N 0.1059 0.0000 0.0132  1 Co 1.76
N 0.1775 0.0000 0.4335  1 Co 1.72
N 0.2237 0.5000 0.8343  1 Co 1.74

Calculated values
The value obtained for the total energy is -6.220 eV per atom. As for the formation energy without anion corrections: -0.633 eV/atom.

***

# 3
A relaxed structure of SrCoN2. Source: the Alexandria database, functional PBEsol.

Unit cell a=5.8759 b=7.9296 c=5.2564 alpha=90.00 beta=115.51 gamma=90.00
Closest atoms and distances in Å follow each position.
Space group P2_1/c (No. 14)
Asymmetric unit:
Sr 0.1738 0.0982 0.3336  6 N 2.56-2.73
Co 0.4157 0.6327 0.5181  4 N 1.74-1.85
N 0.2515 0.0663 0.8590  2 Co 1.85
N 0.3548 0.6905 0.8040  2 Co 1.74-1.75

Calculated values
The value obtained for the total energy is -7.105 eV per atom. As for the formation energy without anion corrections: -0.447 eV/atom.

***

# 4
A relaxed structure of Ta2CoN. Source: the Alexandria database, functional PBEsol.

Unit cell a=5.0279 b=5.0279 c=9.8515 alpha=90.00 beta=90.00 gamma=90.00
Closest atoms and distances in Å follow each position.
Space group I-42d (No. 122)
Asymmetric unit:
Ta 0.1951 0.2500 0.1250  2 N 2.01
Co 0.0000 0.0000 0.5000  4 Ta 2.33
N 0.0000 0.0000 0.0000  4 Ta 2.01

Calculated values
The value obtained for the total energy is -10.480 eV per atom. As for the formation energy without anion corrections: -0.138 eV/atom.

***

# 5
A relaxed structure of CoTcN2. Source: the Alexandria database, functional PBEsol.

Unit cell a=4.3711 b=4.3711 c=8.6960 alpha=90.00 beta=90.00 gamma=90.00
Closest atoms and distances in Å follow each position.
Space group I-42d (No. 122)
Asymmetric unit:
Co 0.0000 0.0000 0.0000  4 N 1.85
Tc 0.0000 0.0000 0.5000  4 N 1.93
N 0.2360 0.2500 0.1250  2 Co 1.85, 2 Tc 1.93

Calculated values
The value obtained for the total energy is -9.150 eV per atom. As for the formation energy without anion corrections: -0.136 eV/atom.

***

# 6
A relaxed structure of CoTeN2. Source: the Alexandria database, functional PBEsol.

Unit cell a=3.2911 b=3.2911 c=17.6719 alpha=90.00 beta=90.00 gamma=120.00
Closest atoms and distances in Å follow each position.
Space group R-3m (No. 166, hexagonal axes)
Asymmetric unit:
Co 0.0000 0.0000 0.0000  2 N 1.79
Te 0.0000 0.0000 0.5000  6 N 2.22
N 0.0000 0.0000 0.1013  1 Co 1.79

Calculated values
The value obtained for the total energy is -6.189 eV per atom. As for the formation energy without anion corrections: 0.890 eV/atom.

***

# 7
A relaxed structure of ZrCoTe2N. Source: the Alexandria database, functional PBEsol.

Unit cell a=5.1915 b=5.1915 c=3.4289 alpha=90.00 beta=90.00 gamma=90.00
Closest atoms and distances in Å follow each position.
Space group P4/mmm (No. 123)
Asymmetric unit:
Zr 0.0000 0.0000 0.0000  8 Te 3.11, 2 Zr 3.43
Co 0.5000 0.5000 0.5000  2 N 1.71
Te 0.0000 0.5000 0.5000  2 Co 2.60
N 0.5000 0.5000 0.0000  2 Co 1.71

Calculated values
The value obtained for the total energy is -6.485 eV per atom. As for the formation energy without anion corrections: -0.004 eV/atom.

***

# 8
A relaxed structure of TiCo3N. Source: the Alexandria database, functional PBEsol.

Unit cell a=3.7238 b=3.7238 c=3.7238 alpha=90.00 beta=90.00 gamma=90.00
Closest atoms and distances in Å follow each position.
Space group Pm-3m (No. 221)
Asymmetric unit:
Ti 0.0000 0.0000 0.0000  12 Co 2.63
Co 0.0000 0.5000 0.5000  2 N 1.86
N 0.5000 0.5000 0.5000  6 Co 1.86

Calculated values
The value obtained for the total energy is -8.298 eV per atom. As for the formation energy without anion corrections: -0.286 eV/atom.

***

# 9
A relaxed structure of TlCo2N. Source: the Alexandria database, functional PBEsol.

Unit cell a=5.8714 b=5.8714 c=5.8714 alpha=90.00 beta=90.00 gamma=90.00
Closest atoms and distances in Å follow each position.
Space group Fm-3m (No. 225)
Asymmetric unit:
Tl 0.0000 0.0000 0.0000  8 Co 2.54
Co 0.2500 0.2500 0.2500  4 Tl 2.54, 4 N 2.54
N 0.0000 0.0000 0.5000  8 Co 2.54

Calculated values
The value obtained for the total energy is -5.324 eV per atom. As for the formation energy without anion corrections: 1.334 eV/atom.

***

# 10
A relaxed structure of V4Co2N. Source: the Alexandria database, functional PBEsol.

Unit cell a=10.6770 b=10.6770 c=10.6770 alpha=90.00 beta=90.00 gamma=90.00
Closest atoms and distances in Å follow each position.
Space group Fd-3m (No. 227, origin choice 2)
Asymmetric unit:
V 0.0000 0.0000 0.0000  6 Co 2.31
V 0.0590 0.3750 0.8750  2 N 1.99
Co 0.0413 0.0413 0.2087  6 V 2.31-2.52, 3 Co 2.53
N 0.0000 0.0000 0.5000  6 V 1.99

Calculated values
The value obtained for the total energy is -9.544 eV per atom. As for the formation energy without anion corrections: -0.610 eV/atom.

***

# 11
A relaxed structure of Co3WN. Source: the Alexandria database, functional PBEsol.

Unit cell a=4.3896 b=4.3896 c=4.3896 alpha=90.00 beta=90.00 gamma=90.00
Closest atoms and distances in Å follow each position.
Space group Pm-3m (No. 221)
Asymmetric unit:
Co 0.0000 0.0000 0.5000  2 W 2.19
W 0.0000 0.0000 0.0000  6 Co 2.19
N 0.5000 0.5000 0.5000  12 Co 3.10

Calculated values
The value obtained for the total energy is -6.364 eV per atom. As for the formation energy without anion corrections: 2.745 eV/atom.

***

# 12
A relaxed structure of YCoN2. Source: the Alexandria database, functional PBEsol.

Unit cell a=5.5062 b=5.5062 c=5.5062 alpha=90.00 beta=90.00 gamma=90.00
Closest atoms and distances in Å follow each position.
Space group Fm-3m (No. 225)
Asymmetric unit:
Y 0.0000 0.0000 0.0000  8 N 2.38
Co 0.0000 0.0000 0.5000  8 N 2.38
N 0.2500 0.2500 0.2500  4 Co 2.38, 4 Y 2.38

Calculated values
The value obtained for the total energy is -8.030 eV per atom. As for the formation energy without anion corrections: -0.127 eV/atom.

***

# 13
A relaxed structure of ZnCo2N2. Source: the Alexandria database, functional PBEsol.

Unit cell a=3.4034 b=3.4034 c=4.8967 alpha=90.00 beta=90.00 gamma=90.00
Closest atoms and distances in Å follow each position.
Space group P-4m2 (No. 115)
Asymmetric unit:
Zn 0.0000 0.0000 0.0000  4 N 2.15
Co 0.5000 0.5000 0.2542  2 N 1.70
N 0.0000 0.5000 0.7308  2 Co 1.70

Calculated values
The value obtained for the total energy is -6.434 eV per atom. As for the formation energy without anion corrections: 0.388 eV/atom.

***

# 14
A relaxed structure of Zr4Co2N. Source: the Alexandria database, functional PBEsol.

Unit cell a=12.0156 b=12.0156 c=12.0156 alpha=90.00 beta=90.00 gamma=90.00
Closest atoms and distances in Å follow each position.
Space group Fd-3m (No. 227, origin choice 2)
Asymmetric unit:
Zr 0.0000 0.0000 0.0000  6 Co 2.64
Zr 0.0602 0.3750 0.8750  2 N 2.24
Co 0.0362 0.0362 0.2138  6 Zr 2.64-2.75
N 0.0000 0.0000 0.5000  6 Zr 2.24

Calculated values
The value obtained for the total energy is -9.421 eV per atom. As for the formation energy without anion corrections: -0.798 eV/atom.

***

# 15
A relaxed structure of NaNb3Co. Source: the Alexandria database, functional PBEsol.

Unit cell a=4.6430 b=4.6430 c=4.6430 alpha=90.00 beta=90.00 gamma=90.00
Closest atoms and distances in Å follow each position.
Space group Pm-3m (No. 221)
Asymmetric unit:
Na 0.0000 0.0000 0.0000  12 Nb 3.28
Nb 0.0000 0.5000 0.5000  2 Co 2.32
Co 0.5000 0.5000 0.5000  6 Nb 2.32

Calculated values
The value obtained for the total energy is -7.356 eV per atom. The calculation puts the energy relative to the elements at 0.964 eV per atom.

***

# 16
A relaxed structure of Na2NbCoOs. Source: the Alexandria database, functional PBEsol.

Unit cell a=4.4284 b=4.4284 c=4.6057 alpha=90.00 beta=90.00 gamma=90.00
Closest atoms and distances in Å follow each position.
Space group P4/mmm (No. 123)
Asymmetric unit:
Na 0.0000 0.5000 0.0000  2 Co 2.21
Nb 0.0000 0.0000 0.5000  2 Co 2.30
Co 0.0000 0.0000 0.0000  4 Na 2.21, 2 Nb 2.30
Os 0.5000 0.5000 0.5000  4 Nb 3.13, 8 Na 3.19

Calculated values
The value obtained for the total energy is -4.890 eV per atom. The calculation puts the energy relative to the elements at 1.825 eV per atom.

***

# 17
A relaxed structure of Na3CoNi. Source: the Alexandria database, functional PBEsol.

Unit cell a=5.1303 b=5.1303 c=5.1303 alpha=90.00 beta=90.00 gamma=90.00
Closest atoms and distances in Å follow each position.
Space group Pm-3m (No. 221)
Asymmetric unit:
Na 0.0000 0.0000 0.5000  2 Ni 2.57
Co 0.5000 0.5000 0.5000  12 Na 3.63
Ni 0.0000 0.0000 0.0000  6 Na 2.57

Calculated values
The value obtained for the total energy is -2.337 eV per atom. The calculation puts the energy relative to the elements at 1.281 eV per atom.

***

# 18
A relaxed structure of NaCoSiNi2. Source: the Alexandria database, functional PBEsol.

Unit cell a=4.1314 b=4.1314 c=4.2028 alpha=90.00 beta=90.00 gamma=90.00
Closest atoms and distances in Å follow each position.
Space group P4/mmm (No. 123)
Asymmetric unit:
Na 0.0000 0.0000 0.0000  4 Ni 2.07, 2 Co 2.10
Co 0.0000 0.0000 0.5000  2 Na 2.10
Si 0.5000 0.5000 0.5000  4 Co 2.92, 8 Ni 2.95
Ni 0.0000 0.5000 0.0000  2 Na 2.07

Calculated values
The value obtained for the total energy is -3.661 eV per atom. As for the formation energy without anion corrections: 1.779 eV/atom.

***

# 19
A relaxed structure of Na3CoO2. Source: the Alexandria database, functional PBEsol.

Unit cell a=9.2601 b=9.2601 c=4.6517 alpha=90.00 beta=90.00 gamma=90.00
Closest atoms and distances in Å follow each position.
Space group P4_2/mnm (No. 136)
Asymmetric unit:
Na 0.0305 0.3380 0.0000  4 O 2.33-2.43
Na 0.1358 0.8642 0.5000  2 O 2.30
Co 0.1811 0.1811 0.5000  2 O 1.73
O 0.0442 0.3077 0.5000  1 Co 1.73

Calculated values
The value obtained for the total energy is -4.800 eV per atom. As for the formation energy without anion corrections: -1.060 eV/atom.

***

# 20
A relaxed structure of Na3Co2O4. Source: the Alexandria database, functional PBEsol.

Unit cell a=5.6016 b=8.1149 c=10.0036 alpha=90.00 beta=90.00 gamma=90.00
Closest atoms and distances in Å follow each position.
Space group Cmcm (No. 63)
Asymmetric unit:
Na 0.0000 0.1467 0.0659  6 O 2.44-2.53, 1 Na 2.72
Na 0.0000 0.2024 0.7500  4 O 2.28
Co 0.0000 0.4253 0.2500  4 O 1.83
Co 0.0000 0.5000 0.0000  4 O 1.82
O 0.2187 0.4128 0.1139  2 Co 1.82-1.83

Calculated values
The value obtained for the total energy is -5.780 eV per atom. As for the formation energy without anion corrections: -1.261 eV/atom.